Here is a relaxed Li3TiNi2O6 crystal from Alexandria. Energies are from PBE with a Hubbard U.

It has space group C2/m (No. 12), with a = 12.969 Å, b = 2.924 Å, c = 5.905 Å, α = 90.00°, β = 103.20° and γ = 90.00°. The asymmetric unit holds Li at (0.000, 0.000, 0.000), Li at (0.173, 0.500, 0.329), Ti at (0.000, 0.000, 0.500), Ni at (0.168, 0.500, 0.839), O at (0.003, 0.500, 0.274), O at (0.157, 0.000, 0.591) and O at (0.167, 0.000, 0.068).

The mass density comes out at 4.30 g/cm3. Its energy is -5.9234 eV per atom.